A relaxed structure of Li2TbZrSe4, computed with PBE.

## Properties
- crystal system = monoclinic
- Fermi-level density of states (states/eV/cell) = 2.8
- formation energy (no corrections) (kcal/mol of atoms) = -34.29
- V (A^3/atom) = 21.85

Geometry as CIF:
```
data_Li2TbZrSe4
_cell_length_a 3.912
_cell_length_b 6.833
_cell_length_c 6.917
_cell_angle_alpha 109.01
_cell_angle_beta 90.00
_cell_angle_gamma 90.00
_space_group_name_H-M_alt 'P 1'
_space_group_IT_number 1
_space_group_name_Hall 'P 1'
loop_
_atom_site_label
_atom_site_type_symbol
_atom_site_fract_x
_atom_site_fract_y
_atom_site_fract_z
_atom_site_occupancy
Se1 Se 0.000 0.741 0.252 1
Se2 Se 0.000 0.259 0.748 1
Se3 Se 0.500 0.264 0.257 1
Se4 Se 0.500 0.736 0.743 1
Li1 Li 0.000 0.500 0.500 1
Li2 Li 0.500 0.000 0.500 1
Zr1 Zr 0.500 0.500 0.000 1
Tb1 Tb 0.000 0.000 0.000 1
```